# 1
Material: Sn2Bi
Method: DFT, PBE
State: optimized geometry

Geometry as extended XYZ:
```
6
Lattice="0.000 3.226 9.112 3.132 0.000 9.112 3.132 3.226 0.000" Properties=species:S:1:pos:R:3 pbc="T T T"
Sn 3.132 3.226 2.884
Sn 3.132 1.605 9.112
Sn 3.132 4.846 9.112
Sn 3.132 3.226 15.340
Bi 3.132 3.226 6.132
Bi 3.132 3.226 12.091
```

## Properties
Density of states at the Fermi level: 2.43 states/eV per cell
Symmetry: No. 69
Crystal system: orthorhombic

# 2
Material: Mo2OsS
Method: DFT, PBE
State: optimized geometry

Geometry as extended XYZ:
```
8
Lattice="-2.832 2.832 5.177 2.832 -2.832 5.177 2.832 2.832 -5.177" Properties=species:S:1:pos:R:3 pbc="T T T"
Mo 4.248 1.342 -1.294
Mo 1.342 1.416 1.294
Mo -1.416 1.490 3.883
Mo 1.490 1.416 6.471
Os 2.832 0.000 2.589
Os 0.000 0.000 5.177
S 0.000 0.000 0.000
S 0.000 2.832 2.589
```

## Properties
Density of states at the Fermi level: 8.69 states/eV per cell
Symmetry: No. 122
Crystal system: tetragonal
Raw formation energy: 0.603 eV per atom

# 3
Material: Li3Ce2PmS6
Method: DFT, PBE
State: optimized geometry

Geometry as extended XYZ:
```
12
Lattice="3.504 -6.069 0.000 3.504 6.069 0.000 -2.335 0.000 6.181" Properties=species:S:1:pos:R:3 pbc="T T T"
Li 0.000 0.000 0.000
Li 3.504 2.008 0.000
Li 3.504 -2.008 0.000
Ce 2.336 4.045 3.091
Ce 2.336 -4.045 3.091
Pm 2.336 0.000 3.091
S 1.169 2.022 1.507
S 0.002 0.000 4.677
S 1.169 -2.022 1.507
S 3.504 2.022 4.674
S 4.671 0.000 1.505
S 3.504 -2.022 4.674
```

## Properties
Density of states at the Fermi level: 12.22 states/eV per cell
Symmetry: No. 12
Crystal system: monoclinic
Raw formation energy: -1.745 eV per atom

# 4
Material: CaBeNF2
Method: DFT, PBE
State: optimized geometry

Geometry as extended XYZ:
```
5
Lattice="4.181 0.000 0.000 0.000 4.181 0.000 0.000 0.000 4.939" Properties=species:S:1:pos:R:3 pbc="T T T"
Ca 0.000 0.000 0.000
Be 2.091 2.091 2.470
N 0.000 0.000 2.470
F 0.000 2.091 0.000
F 2.091 0.000 0.000
```

## Properties
Density of states at the Fermi level: 2.24 states/eV per cell
Symmetry: No. 123
Polymorph energy (0 for the lowest one): 29.44 kcal/mol of atoms
Crystal system: tetragonal
Raw formation energy: -0.634 eV per atom

# 5
Material: CoSb2TeOs
Method: DFT, PBE
State: optimized geometry

Geometry as extended XYZ:
```
5
Lattice="4.757 0.000 0.000 0.000 4.757 0.000 0.000 0.000 4.889" Properties=species:S:1:pos:R:3 pbc="T T T"
Co 0.000 0.000 0.000
Sb 0.000 2.379 0.000
Sb 2.379 0.000 0.000
Te 0.000 0.000 2.444
Os 2.379 2.379 2.444
```

## Properties
Density of states at the Fermi level: 4.87 states/eV per cell
Symmetry: No. 123
Polymorph energy (0 for the lowest one): 0.00 kcal/mol of atoms
Crystal system: tetragonal
Raw formation energy: 1.080 eV per atom

# 6
Material: RbCd3Pt
Method: DFT, PBE
State: optimized geometry

Geometry as extended XYZ:
```
10
Lattice="8.214 -2.537 0.000 8.214 2.537 0.000 -0.947 0.000 7.474" Properties=species:S:1:pos:R:3 pbc="T T T"
Rb 1.977 0.000 2.968
Rb 13.504 0.000 4.506
Cd 0.432 0.000 6.751
Cd 3.333 0.000 6.657
Cd 7.568 0.000 2.336
Cd 7.913 0.000 5.138
Cd 12.148 0.000 0.817
Cd 15.049 0.000 0.723
Pt 5.954 0.000 7.122
Pt 9.527 0.000 0.352
```

## Properties
Density of states at the Fermi level: 5.57 states/eV per cell
Symmetry: No. 12
Polymorph energy (0 for the lowest one): 3.69 kcal/mol of atoms
Crystal system: monoclinic

# 7
Material: Cu2SbPb2
Method: DFT, PBE
State: optimized geometry

Geometry as extended XYZ:
```
10
Lattice="8.490 0.000 0.000 0.000 8.490 0.000 0.000 0.000 3.271" Properties=species:S:1:pos:R:3 pbc="T T T"
Cu 0.881 3.364 0.000
Cu 3.364 7.610 0.000
Cu 5.126 0.881 0.000
Cu 7.610 5.126 0.000
Sb 0.000 0.000 1.635
Sb 4.245 4.245 1.635
Pb 1.545 5.790 1.635
Pb 2.701 1.545 1.635
Pb 5.790 6.946 1.635
Pb 6.946 2.701 1.635
```

## Properties
Density of states at the Fermi level: 3.55 states/eV per cell
Symmetry: No. 127
Polymorph energy (0 for the lowest one): 4.61 kcal/mol of atoms
Crystal system: tetragonal
Raw formation energy: 0.344 eV per atom

# 8
Material: Tb8AlCu2
Method: DFT, PBE
State: optimized geometry

Geometry as extended XYZ:
```
11
Lattice="4.329 -6.790 0.000 4.329 6.790 0.000 -1.569 0.000 5.105" Properties=species:S:1:pos:R:3 pbc="T T T"
Tb 0.837 1.666 2.989
Tb 4.329 3.572 0.000
Tb 0.837 -1.666 2.989
Tb 3.064 0.000 0.975
Tb 4.024 0.000 4.130
Tb 6.251 1.666 2.116
Tb 4.329 -3.572 0.000
Tb 6.251 -1.666 2.116
Al 0.000 0.000 0.000
Cu 3.544 2.598 2.552
Cu 3.544 -2.598 2.552
```

## Properties
Density of states at the Fermi level: 16.74 states/eV per cell
Symmetry: No. 12
Crystal system: monoclinic

# 9
Material: NdRhCl6
Method: DFT, PBE
State: optimized geometry

Geometry as extended XYZ:
```
8
Lattice="3.194 1.844 5.852 -3.194 1.844 5.852 0.000 -3.688 5.852" Properties=species:S:1:pos:R:3 pbc="T T T"
Nd 0.000 0.000 0.000
Rh 0.000 0.000 8.778
Cl -1.940 -0.076 7.417
Cl -0.904 -1.718 10.139
Cl 1.036 -1.642 7.417
Cl -1.036 1.642 10.139
Cl 0.904 1.718 7.417
Cl 1.940 0.076 10.139
```

## Properties
Symmetry: No. 148
Crystal system: trigonal
Raw formation energy: -1.332 eV per atom

# 10
Material: Tl3P5Br12
Method: DFT, PBE
State: optimized geometry

Geometry as extended XYZ:
```
80
Lattice="-8.953 8.953 8.953 8.953 -8.953 8.953 8.953 8.953 -8.953" Properties=species:S:1:pos:R:3 pbc="T T T"
Tl 4.477 2.238 0.000
Tl 8.953 4.477 -2.238
Tl 2.238 0.000 4.477
Tl 11.192 0.000 4.477
Tl 0.000 4.477 2.238
Tl 4.477 -2.238 8.953
Tl 4.477 11.192 0.000
Tl 8.953 4.477 6.715
Tl -2.238 8.953 4.477
Tl 6.715 8.953 4.477
Tl 0.000 4.477 11.192
Tl 4.477 6.715 8.953
P 0.000 0.000 0.000
P 4.477 4.477 -4.477
P 4.477 -4.477 4.477
P 8.953 0.000 0.000
P 13.430 2.238 0.000
P 8.953 -4.477 6.715
P 6.715 8.953 -4.477
P 6.715 0.000 4.477
P 4.477 6.715 0.000
P 8.953 4.477 2.238
P -4.477 4.477 4.477
P 0.000 8.953 0.000
P 0.000 0.000 8.953
P 4.477 4.477 4.477
P 0.000 4.477 6.715
P 4.477 2.238 8.953
P 2.238 8.953 4.477
P 2.238 0.000 13.430
P 0.000 13.430 2.238
P -4.477 6.715 8.953
Br 7.023 -5.077 5.195
Br 15.360 0.718 -0.600
Br 11.499 0.718 0.600
Br 10.884 -3.876 5.195
Br 12.830 3.759 -1.930
Br 9.553 -6.407 8.235
Br 5.195 7.023 -5.077
Br 8.235 -0.600 2.546
Br 8.235 9.553 -6.407
Br 5.195 -1.930 5.077
Br 5.077 5.195 -1.930
Br 8.353 2.546 0.718
Br 14.030 3.759 1.930
Br 8.353 -2.546 8.235
Br 8.235 8.353 -2.546
Br 5.195 1.930 3.876
Br 5.195 10.884 -3.876
Br 8.235 0.600 6.407
Br 3.876 5.195 1.930
Br 9.553 6.407 0.718
Br 2.546 8.235 -0.600
Br 10.884 3.876 3.759
Br 6.407 8.235 0.600
Br 7.023 5.077 3.759
Br 1.930 3.876 5.195
Br 2.546 0.718 8.353
Br -1.930 5.077 5.195
Br 6.407 0.718 9.553
Br -0.600 2.546 8.235
Br 5.077 3.759 7.023
Br 0.718 8.353 2.546
Br 3.759 -1.930 12.830
Br 3.759 7.023 5.077
Br 0.718 0.600 11.499
Br 0.600 11.499 0.718
Br -5.077 5.195 7.023
Br 0.600 6.407 8.235
Br 3.876 3.759 10.884
Br 3.759 10.884 3.876
Br 0.718 -0.600 15.360
Br 0.718 9.553 6.407
Br 3.759 1.930 14.030
Br -0.600 15.360 0.718
Br -3.876 5.195 10.884
Br -1.930 12.830 3.759
Br -2.546 8.235 8.353
Br -6.407 8.235 9.553
Br 1.930 14.030 3.759
```

## Properties
Density of states at the Fermi level: 27.69 states/eV per cell
Symmetry: No. 230
Crystal system: cubic
Raw formation energy: -0.039 eV per atom

# 11
Material: SrTlZn2Cd
Method: DFT, PBE
State: optimized geometry

Geometry as extended XYZ:
```
5
Lattice="5.237 0.000 0.000 0.000 5.237 0.000 0.000 0.000 5.801" Properties=species:S:1:pos:R:3 pbc="T T T"
Sr 0.000 0.000 0.000
Tl 2.618 2.618 2.900
Zn 0.000 2.618 2.900
Zn 2.618 0.000 2.900
Cd 2.618 2.618 0.000
```

## Properties
Density of states at the Fermi level: 3.30 states/eV per cell
Symmetry: No. 123
Crystal system: tetragonal

# 12
Material: SrCd2W
Method: DFT, PBE
State: optimized geometry

Geometry as extended XYZ:
```
4
Lattice="3.571 0.000 0.000 0.000 3.571 0.000 0.000 0.000 7.495" Properties=species:S:1:pos:R:3 pbc="T T T"
Sr 0.000 0.000 0.000
Cd 1.785 1.785 2.263
Cd 1.785 1.785 5.232
W 0.000 0.000 3.747
```

## Properties
Density of states at the Fermi level: 2.94 states/eV per cell
Symmetry: No. 123
Polymorph energy (0 for the lowest one): 1.77 kcal/mol of atoms
Crystal system: tetragonal

no.,total energy (eV per cell)
1,-23.39
2,-69.22
3,-68.06
4,-20.96
5,-24.32
6,-20.41
7,-36.03
8,-49.35
9,-33.86
10,-220.02
11,-6.43
12,-13.94